First-principles (PBE-GGA) data for Pm2BeWN5 after structural relaxation, as listed in Alexandria via LeMat-Bulk.

a b c (Å): 3.173 7.259 9.817
angles (deg): 90.00 90.00 102.62
Each line ends with the local moment (μB).
Fractional positions:
W1 0.792 0.584 0.513  -0.01
W2 0.208 0.416 0.013  -0.01
Pm1 0.885 0.770 0.204  0.00
Pm2 0.879 0.759 0.822  0.00
Pm3 0.115 0.230 0.704  0.00
Pm4 0.121 0.241 0.322  0.00
N1 0.659 0.317 0.515  0.01
N2 0.303 0.605 0.374  0.03
N3 0.498 0.997 0.288  0.12
N4 0.502 0.003 0.788  0.12
N5 0.304 0.607 0.648  0.04
N6 0.341 0.683 0.015  0.01
N7 0.953 0.906 0.506  0.22
N8 0.696 0.393 0.148  0.04
N9 0.047 0.094 0.006  0.22
N10 0.697 0.395 0.874  0.03
Be1 0.460 0.920 0.454  0.00
Be2 0.540 0.080 0.954  0.00

size of the total moment: 0.063 μB per atom
ΔE_f (raw): -0.8078 eV/atom

=====

First-principles (PBE-GGA) data for BaOs3O12 after structural relaxation, as listed in Alexandria via LeMat-Bulk.

a b c (Å): 9.334 9.334 11.582
angles (deg): 66.24 66.24 60.00
Each line ends with the local moment (μB).
Fractional positions:
O1 0.622 0.248 0.529  0.07
O2 0.897 0.326 0.361  0.07
O3 0.826 0.397 0.861  0.07
O4 0.449 0.105 0.973  0.07
O5 0.748 0.122 0.029  0.07
O6 0.101 0.748 0.029  0.07
O7 0.893 0.176 0.633  0.05
O8 0.393 0.798 0.133  0.05
O9 0.915 0.826 0.861  0.07
O10 0.298 0.893 0.633  0.05
O11 0.326 0.415 0.361  0.07
O12 0.601 0.622 0.529  0.07
O13 0.676 0.393 0.133  0.05
O14 0.974 0.605 0.473  0.07
O15 0.474 0.449 0.973  0.07
O16 0.798 0.676 0.133  0.05
O17 0.122 0.101 0.029  0.07
O18 0.605 0.949 0.473  0.07
O19 0.949 0.974 0.473  0.07
O20 0.176 0.298 0.633  0.05
O21 0.415 0.897 0.361  0.07
O22 0.248 0.601 0.529  0.07
O23 0.105 0.474 0.973  0.07
O24 0.397 0.915 0.861  0.07
Ba1 0.060 0.060 0.819  0.01
Ba2 0.560 0.560 0.319  0.01
Os1 0.479 0.844 0.502  0.37
Os2 0.844 0.175 0.502  0.37
Os3 0.675 0.344 0.002  0.37
Os4 0.175 0.479 0.502  0.37
Os5 0.344 0.979 0.002  0.37
Os6 0.979 0.675 0.002  0.37

size of the total moment: 0.134 μB per atom
ΔE_f (raw): -1.2062 eV/atom

=====

First-principles (PBE-GGA) data for Tb2Dy2Th3 after structural relaxation, as listed in Alexandria via LeMat-Bulk.

a b c (Å): 3.482 11.585 5.893
angles (deg): 75.30 89.92 98.63
Fractional positions:
Th1 0.725 0.451 0.275
Th2 0.275 0.549 0.725
Th3 0.000 0.000 0.000
Tb1 0.917 0.835 0.582
Tb2 0.083 0.165 0.418
Dy1 0.362 0.724 0.138
Dy2 0.638 0.276 0.862

size of the total moment: 0.000 μB per atom
E above lowest polymorph: 0.0 meV per atom
formation energy from the elements: 0.123 eV/atom